# 1
Entry from the Alexandria database: a relaxed structure of ScFe7Co5 (PBE).

For the total magnetization, the calculation gives 24.90 μB/f.u. As for the calculated volume: 321.4 Å³ per cell. The formation enthalpy at 0 K is -0.07 eV/atom.

It has space group Imm2 (No. 44), with a = 4.7209 Å, b = 8.2574 Å, c = 8.2446 Å, α = 90.00°, β = 90.00° and γ = 90.00°. The distinct sites, in fractional coordinates, are Sc at (0.0000, 0.0000, 0.0000), Fe at (0.0000, 0.0000, 0.3570), Fe at (0.0000, 0.0000, 0.6453), Fe at (0.0000, 0.2820, 0.4981), Fe at (0.0000, 0.3558, 0.9997), Fe at (0.0000, 0.5000, 0.7238), Co at (0.0000, 0.5000, 0.2775) and Co at (0.2501, 0.2502, 0.2482).

# 2
Entry from the Alexandria database: a relaxed structure of ScFe2Co (PBE).

For the total magnetization, the calculation gives 6.29 μB/f.u. As for the calculated volume: 167.0 Å³ per cell. The formation enthalpy at 0 K is 0.28 eV/atom.

It has space group R3m (No. 160, hexagonal axes), with a = 2.7805 Å, b = 2.7805 Å, c = 24.9420 Å, α = 90.00°, β = 90.00° and γ = 120.00°. The distinct sites, in fractional coordinates, are Sc at (0.0000, 0.0000, 0.0000), Fe at (0.0000, 0.0000, 0.5034), Fe at (0.0000, 0.0000, 0.7586) and Co at (0.0000, 0.0000, 0.2443).

# 3
Entry from the Alexandria database: a relaxed structure of Sc2FeCo (PBE).

For the total magnetization, the calculation gives 0.39 μB/f.u. As for the calculated volume: 60.8 Å³ per cell. The formation enthalpy at 0 K is -0.19 eV/atom.

It has space group P4/mmm (No. 123), with a = 3.1174 Å, b = 3.1174 Å, c = 6.2535 Å, α = 90.00°, β = 90.00° and γ = 90.00°. The distinct sites, in fractional coordinates, are Sc at (0.0000, 0.0000, 0.2486), Fe at (0.5000, 0.5000, 0.0000) and Co at (0.5000, 0.5000, 0.5000).

# 4
Entry from the Alexandria database: a relaxed structure of ScFe2Co (PBE).

For the total magnetization, the calculation gives 6.10 μB/f.u. As for the calculated volume: 164.1 Å³ per cell. The formation enthalpy at 0 K is 0.30 eV/atom.

It has space group R-3m (No. 166, hexagonal axes), with a = 2.7232 Å, b = 2.7232 Å, c = 25.5510 Å, α = 90.00°, β = 90.00° and γ = 120.00°. The distinct sites, in fractional coordinates, are Sc at (0.0000, 0.0000, 0.0000), Fe at (0.0000, 0.0000, 0.2422) and Co at (0.0000, 0.0000, 0.5000).

# 5
Entry from the Alexandria database: a relaxed structure of Sc2FeCo (PBE).

For the total magnetization, the calculation gives 3.85 μB/f.u. As for the calculated volume: 68.7 Å³ per cell. The formation enthalpy at 0 K is -0.06 eV/atom.

It has space group P4mm (No. 99), with a = 3.0643 Å, b = 3.0643 Å, c = 7.3194 Å, α = 90.00°, β = 90.00° and γ = 90.00°. The distinct sites, in fractional coordinates, are Sc at (0.0000, 0.0000, 0.0000), Sc at (0.5000, 0.5000, 0.3702), Fe at (0.5000, 0.5000, 0.7628) and Co at (0.0000, 0.0000, 0.5919).

# 6
Entry from the Alexandria database: a relaxed structure of ScFeCo3 (PBE).

For the total magnetization, the calculation gives 6.06 μB/f.u. As for the calculated volume: 80.3 Å³ per cell. The distance to the lowest polymorph of the same formula comes out at 1460 meV per atom. The formation enthalpy at 0 K is 1.41 eV/atom.

It has space group Pm-3m (No. 221), with a = 4.3150 Å, b = 4.3150 Å, c = 4.3150 Å, α = 90.00°, β = 90.00° and γ = 90.00°. The distinct sites, in fractional coordinates, are Sc at (0.0000, 0.0000, 0.0000), Fe at (0.5000, 0.5000, 0.5000) and Co at (0.0000, 0.0000, 0.5000).

# 7
Entry from the Alexandria database: a relaxed structure of Sc8FeCo2 (PBE).

For the total magnetization, the calculation gives 0.00 μB/f.u. As for the calculated volume: 437.7 Å³ per cell. The distance to the lowest polymorph of the same formula comes out at 85 meV per atom. The formation enthalpy at 0 K is -0.09 eV/atom.

It has space group Cm (No. 8), with a = 7.8044 Å, b = 11.3220 Å, c = 5.2027 Å, α = 90.00°, β = 107.82° and γ = 90.00°. The distinct sites, in fractional coordinates, are Sc at (0.0000, 0.0000, 0.0000), Sc at (0.0602, 0.3703, 0.7880), Sc at (0.1605, 0.1296, 0.5884), Sc at (0.2199, 0.5000, 0.3760), Sc at (0.3604, 0.2118, 0.1882), Fe at (0.3599, 0.0000, 0.1891) and Co at (0.3601, 0.3128, 0.6877).

# 8
Entry from the Alexandria database: a relaxed structure of Sc2FeCo (PBE).

For the total magnetization, the calculation gives 3.16 μB/f.u. As for the calculated volume: 248.8 Å³ per cell. The formation enthalpy at 0 K is 0.08 eV/atom.

It has space group F-43m (No. 216), with a = 6.2899 Å, b = 6.2899 Å, c = 6.2899 Å, α = 90.00°, β = 90.00° and γ = 90.00°. The distinct sites, in fractional coordinates, are Sc at (0.0000, 0.0000, 0.0000), Sc at (0.2500, 0.2500, 0.2500), Fe at (0.0000, 0.0000, 0.5000) and Co at (0.2500, 0.2500, 0.7500).

# 9
Entry from the Alexandria database: a relaxed structure of Sc3Fe2Co7 (PBE).

For the total magnetization, the calculation gives 12.50 μB/f.u. As for the calculated volume: 484.5 Å³ per cell. The formation enthalpy at 0 K is -0.26 eV/atom.

It has space group R-3m (No. 166, hexagonal axes), with a = 4.8778 Å, b = 4.8778 Å, c = 23.5119 Å, α = 90.00°, β = 90.00° and γ = 120.00°. The distinct sites, in fractional coordinates, are Sc at (0.0000, 0.0000, 0.0000), Sc at (0.0000, 0.0000, 0.1408), Fe at (0.0000, 0.0000, 0.3348), Co at (0.0000, 0.0000, 0.5000) and Co at (0.0058, 0.5029, 0.9161).

# 10
Entry from the Alexandria database: a relaxed structure of Sc2FeCo (PBE).

For the total magnetization, the calculation gives 1.69 μB/f.u. As for the calculated volume: 266.5 Å³ per cell. The formation enthalpy at 0 K is 0.23 eV/atom.

It has space group I-42d (No. 122), with a = 6.8965 Å, b = 6.8965 Å, c = 5.6026 Å, α = 90.00°, β = 90.00° and γ = 90.00°. The distinct sites, in fractional coordinates, are Sc at (0.2292, 0.2500, 0.1250), Fe at (0.0000, 0.0000, 0.5000) and Co at (0.0000, 0.0000, 0.0000).

# 11
Entry from the Alexandria database: a relaxed structure of ScFe2Co (PBE).

For the total magnetization, the calculation gives 5.59 μB/f.u. As for the calculated volume: 107.6 Å³ per cell. The formation enthalpy at 0 K is -0.02 eV/atom.

It has space group Imm2 (No. 44), with a = 3.0584 Å, b = 4.1615 Å, c = 8.4518 Å, α = 90.00°, β = 90.00° and γ = 90.00°. The distinct sites, in fractional coordinates, are Sc at (0.0000, 0.0000, 0.0000), Fe at (0.0000, 0.0000, 0.4941), Fe at (0.0000, 0.5000, 0.2322) and Co at (0.0000, 0.5000, 0.7606).

# 12
Entry from the Alexandria database: a relaxed structure of Sc2FeCo (PBE).

For the total magnetization, the calculation gives 1.23 μB/f.u. As for the calculated volume: 192.3 Å³ per cell. The formation enthalpy at 0 K is 0.18 eV/atom.

It has space group R-3m (No. 166, hexagonal axes), with a = 3.0818 Å, b = 3.0818 Å, c = 23.3850 Å, α = 90.00°, β = 90.00° and γ = 120.00°. The distinct sites, in fractional coordinates, are Sc at (0.0000, 0.0000, 0.2501), Fe at (0.0000, 0.0000, 0.0000) and Co at (0.0000, 0.0000, 0.5000).